A plane-wave DFT calculation with PBE was carried out for a relaxed structure of Zr5Ni4.

The structure belongs to space group P6_3/mcm (No. 193); the cell edges are 8.3692, 8.3692 and 5.2223 Å and the angles 90.00°, 90.00° and 120.00°. The asymmetric unit holds Zr at (0.0000, 0.2782, 0.2500), Zr at (0.3333, 0.6667, 0.0000), Ni at (0.0000, 0.0000, 0.0000) and Ni at (0.0000, 0.4072, 0.7500).

As for the density of states at the Fermi level: 12.06 states/eV/f.u. As for the total energy: -136.1 eV/cell. For the magnetic moment, the calculation gives 0.0 μB per cell. The relative energy among the computed polymorphs is 0.0 kJ per mole of atoms. The formation energy comes out at -0.243 eV per atom.